PBE K3Mo5N12, optimized geometry; uncorrected formation energy = 1.7 eV/f.u.; final energy = -7.78 eV/atom; crystal system = cubic; symmetry = Ia-3d; density = 4.17 Mg/m³
1.0
-1.233 9.615 6.462
-8.239 -7.710 2.899
10.512 -4.644 1.915
K Mo N
12 20 48
Direct
0.750 0.375 0.125
0.875 0.750 0.125
0.375 0.750 0.625
0.250 0.125 0.375
0.875 0.125 0.250
0.375 0.625 0.250
0.625 0.375 0.750
0.125 0.875 0.750
0.750 0.875 0.625
0.625 0.250 0.375
0.125 0.250 0.875
0.250 0.625 0.875
0.125 0.375 0.250
0.000 0.500 0.000
0.000 0.000 0.000
0.375 0.250 0.125
0.500 0.000 0.500
0.500 0.500 0.000
0.125 0.750 0.375
0.750 0.125 0.875
0.750 0.625 0.375
0.375 0.125 0.750
0.625 0.875 0.250
0.500 0.500 0.500
0.500 0.000 0.000
0.000 0.000 0.500
0.250 0.375 0.625
0.250 0.875 0.125
0.000 0.500 0.500
0.875 0.250 0.625
0.625 0.750 0.875
0.875 0.625 0.750
0.673 0.101 0.989
0.316 0.489 0.388
0.011 0.399 0.327
0.489 0.173 0.101
0.572 0.673 0.684
0.011 0.612 0.184
0.316 0.827 0.428
0.112 0.928 0.101
0.612 0.011 0.684
0.673 0.572 0.184
0.827 0.511 0.399
0.816 0.888 0.989
0.101 0.673 0.489
0.399 0.388 0.072
0.072 0.888 0.399
0.428 0.101 0.612
0.072 0.184 0.173
0.511 0.684 0.112
0.816 0.928 0.327
0.101 0.428 0.112
0.399 0.011 0.827
0.612 0.601 0.428
0.888 0.816 0.489
0.827 0.316 0.928
0.388 0.399 0.572
0.112 0.184 0.511
0.173 0.684 0.072
0.184 0.072 0.673
0.601 0.989 0.173
0.899 0.572 0.888
0.489 0.316 0.888
0.572 0.899 0.388
0.928 0.816 0.827
0.928 0.112 0.601
0.899 0.327 0.511
0.184 0.112 0.011
0.601 0.612 0.928
0.388 0.989 0.316
0.327 0.428 0.816
0.173 0.489 0.601
0.888 0.072 0.899
0.684 0.173 0.572
0.511 0.827 0.899
0.989 0.388 0.816
0.428 0.327 0.316
0.989 0.601 0.673
0.684 0.511 0.612
0.327 0.899 0.011

***

PBE CaCr2Rh, optimized geometry; distance to the lowest polymorph of the same formula = 0.084 eV/atom; final energy = -6.84 eV/atom; calculated formation energy = 0.309 eV per atom; crystal system = orthorhombic; symmetry = Pmmm; density = 5.97 Mg/m³
1.0
-3.295 0.112 0.221
-0.188 -4.295 -0.624
0.293 -0.700 4.728
Cr Ca Rh
2 1 1
Direct
0.000 0.000 0.000
0.500 0.500 0.000
0.000 0.500 0.500
0.500 0.000 0.500

***

PBE TaAgMo2, optimized geometry; distance to the lowest polymorph of the same formula = 0.195 eV/atom; final energy = -8.72 eV/atom; calculated formation energy = 0.367 eV per atom; crystal system = orthorhombic; symmetry = Cmmm; density = 11.87 Mg/m³
1.0
-4.463 1.668 2.250
-0.649 -2.850 -4.384
-0.096 -2.232 1.465
Ag Mo Ta
1 2 1
Direct
0.000 0.500 0.500
0.000 0.000 0.000
0.500 0.500 0.000
0.500 0.000 0.500

***

- Which formula does entry 1 have?
  K3Mo5N12